[1]
BaLiHo2Se4: relaxed, GGA-PBE.

```
BaLiHo2Se4
1.0
2.1121 -6.9322 0.0000
2.1121 6.9322 0.0000
0.0000 0.0000 14.2654
Ba Li Ho Se
2 2 4 8
direct
0.1174 0.8826 0.7500
0.8826 0.1174 0.2500
0.1549 0.8451 0.2500
0.8451 0.1549 0.7500
0.3730 0.6270 0.5560
0.3730 0.6270 0.9440
0.6270 0.3730 0.0560
0.6270 0.3730 0.4440
0.0000 0.0000 0.0000
0.0000 0.0000 0.5000
0.2646 0.7354 0.1124
0.2646 0.7354 0.3876
0.4378 0.5622 0.7500
0.5622 0.4378 0.2500
0.7354 0.2646 0.6124
0.7354 0.2646 0.8876
```

The total energy comes out at -5.15 eV/atom. For the calculated volume, the calculation gives 208.9 Å³/f.u.

***

[2]
Ba2LiHoTe4: relaxed, GGA-PBE.

```
Ba2LiHoTe4
1.0
8.0871 0.0000 0.0000
0.0000 4.6785 0.0000
-2.6218 0.0000 7.6524
Ba Li Ho Te
2 1 1 4
direct
0.0000 0.0000 0.0000
0.0000 0.5000 0.5000
0.5000 0.0000 0.5000
0.5000 0.5000 0.0000
0.2868 0.5000 0.2556
0.2879 0.0000 0.7646
0.7121 0.0000 0.2354
0.7132 0.5000 0.7444
```

The total energy comes out at -4.32 eV/atom. For the calculated volume, the calculation gives 289.5 Å³/f.u.